VASP calculation (PBE-GGA) on crystalline Ho6AgPd2 at its relaxed geometry.

Cell: 8.452 8.452 8.452 Å, 112.12 110.84 105.52°
Sites, in units of the cell vectors:
1 Ho 0.050 0.241 0.809
2 Ho 0.180 0.283 0.462
3 Ho 0.180 0.717 0.897
4 Ho 0.328 0.029 0.701
5 Ho 0.328 0.627 0.299
6 Ho 0.432 0.241 0.191
7 Ho 0.568 0.759 0.809
8 Ho 0.672 0.373 0.701
9 Ho 0.672 0.971 0.299
10 Ho 0.820 0.283 0.103
11 Ho 0.820 0.717 0.538
12 Ho 0.950 0.759 0.191
13 Ag 0.000 0.000 0.000
14 Ag 0.500 0.500 0.000
15 Pd 0.133 0.633 0.500
16 Pd 0.342 0.000 0.342
17 Pd 0.658 0.000 0.658
18 Pd 0.867 0.367 0.500

As for the calculated formation energy: -0.481 eV per atom. The value obtained for the total DFT energy (no corrections) is -5.00 eV/atom. As for the total magnetization: 0.00 Bohr magnetons per cell. The density comes out at 9.40 g/cm³.